# Fe2HBr8 PBE optimized geometry
data_Fe2HBr8
_chemical_formula_sum 'Fe2 H1 Br8'
_cell_length_a 7.5716
_cell_length_b 7.7827
_cell_length_c 7.7827
_cell_angle_alpha 67.35
_cell_angle_beta 79.99
_cell_angle_gamma 79.99
_space_group_name_H-M_alt 'P 1'
_space_group_IT_number 1
_space_group_name_Hall 'P 1'
loop_
_atom_site_label
_atom_site_fract_x
_atom_site_fract_y
_atom_site_fract_z
Br1 0.8353 0.6355 0.6355
Fe1 0.7834 0.8154 0.8154
H1 0.0000 0.0000 0.0000
Br2 0.3587 0.8944 0.3449
Br3 0.6413 0.6551 0.1056
Br4 0.1647 0.3645 0.3645
Fe2 0.2166 0.1846 0.1846
Br5 0.0794 0.8660 0.8660
Br6 0.3587 0.3449 0.8944
Br7 0.6413 0.1056 0.6551
Br8 0.9206 0.1340 0.1340
# M_tot   8.96 μB per cell
# Density of states at the Fermi level   0.1009 states/eV/atom
# Total energy   -3.409 eV per atom